# Dy5Ho3Th2 PBE-GGA relaxed
# formation energy = 216 meV/atom
data_Dy5Ho3Th2
_chemical_formula_sum 'Dy20 Ho12 Th8'
_space_group_name_H-M_alt 'C 1 2/c 1'
_space_group_IT_number 15
_cell_length_a 10.675
_cell_length_b 16.901
_cell_length_c 8.978
_cell_angle_alpha 90.00
_cell_angle_beta 126.47
_cell_angle_gamma 90.00
loop_
_space_group_symop_operation_xyz
'x,y,z'
'-x,-y,-z'
'-x,y,-z+1/2'
'x,-y,z+1/2'
'x+1/2,y+1/2,z'
'-x+1/2,-y+1/2,-z'
'-x+1/2,y+1/2,-z+1/2'
'x+1/2,-y+1/2,z+1/2'
loop_
_atom_site_label
_atom_site_type_symbol
_atom_site_fract_x
_atom_site_fract_y
_atom_site_fract_z
_atom_site_occupancy
Dy1 Dy 0.000 0.029 0.250 1
Dy2 Dy 0.000 0.219 0.250 1
Dy3 Dy 0.000 0.278 0.750 1
Dy4 Dy 0.248 0.123 0.750 1
Ho1 Ho 0.000 0.468 0.750 1
Ho2 Ho 0.146 0.124 0.042 1
Th1 Th 0.136 0.375 0.523 1

=====

# Tb6TmMg2 PBE-GGA relaxed
# formation energy = 62 meV/atom
data_Tb6TmMg2
_chemical_formula_sum 'Tb24 Tm4 Mg8'
_space_group_name_H-M_alt 'C 1 2/c 1'
_space_group_IT_number 15
_cell_length_a 12.925
_cell_length_b 11.510
_cell_length_c 8.845
_cell_angle_alpha 90.00
_cell_angle_beta 124.71
_cell_angle_gamma 90.00
loop_
_space_group_symop_operation_xyz
'x,y,z'
'-x,-y,-z'
'-x,y,-z+1/2'
'x,-y,z+1/2'
'x+1/2,y+1/2,z'
'-x+1/2,-y+1/2,-z'
'-x+1/2,y+1/2,-z+1/2'
'x+1/2,-y+1/2,z+1/2'
loop_
_atom_site_label
_atom_site_type_symbol
_atom_site_fract_x
_atom_site_fract_y
_atom_site_fract_z
_atom_site_occupancy
Tb1 Tb 0.044 0.127 0.471 1
Tb2 Tb 0.109 0.410 0.188 1
Tb3 Tb 0.229 0.347 0.639 1
Tm1 Tm 0.000 0.327 0.750 1
Mg1 Mg 0.189 0.109 0.933 1

=====

# TlZnPb2 PBE-GGA relaxed
# formation energy = 199 meV/atom
data_TlZnPb2
_chemical_formula_sum 'Tl4 Zn4 Pb8'
_space_group_name_H-M_alt 'I -4 2 d'
_space_group_IT_number 122
_space_group_name_Hall 'I -4 2bw'
_cell_length_a 4.564
_cell_length_b 4.564
_cell_length_c 22.736
_cell_angle_alpha 90.00
_cell_angle_beta 90.00
_cell_angle_gamma 90.00
loop_
_atom_site_label
_atom_site_type_symbol
_atom_site_fract_x
_atom_site_fract_y
_atom_site_fract_z
_atom_site_occupancy
Tl1 Tl 0.000 0.000 0.000 1
Zn1 Zn 0.000 0.000 0.500 1
Pb1 Pb 0.243 0.250 0.625 1

=====

# NdEuCd4 PBE-GGA relaxed
# formation energy = -300 meV/atom
data_NdEuCd4
_chemical_formula_sum 'Nd4 Eu4 Cd16'
_space_group_name_H-M_alt 'F -4 3 m'
_space_group_IT_number 216
_space_group_name_Hall 'F -4 2 3'
_cell_length_a 8.554
_cell_length_b 8.554
_cell_length_c 8.554
_cell_angle_alpha 90.00
_cell_angle_beta 90.00
_cell_angle_gamma 90.00
loop_
_atom_site_label
_atom_site_type_symbol
_atom_site_fract_x
_atom_site_fract_y
_atom_site_fract_z
_atom_site_occupancy
Nd1 Nd 0.000 0.000 0.000 1
Eu1 Eu 0.250 0.250 0.250 1
Cd1 Cd 0.125 0.125 0.625 1

=====

# Li6CaAu12 PBE-GGA relaxed
# formation energy = -375 meV/atom
data_Li6CaAu12
_chemical_formula_sum 'Li18 Ca3 Au36'
_space_group_name_H-M_alt 'R -3 m'
_space_group_IT_number 166
_space_group_name_Hall '-R 3 2"'
_cell_length_a 11.8549
_cell_length_b 11.8549
_cell_length_c 8.4821
_cell_angle_alpha 90.00
_cell_angle_beta 90.00
_cell_angle_gamma 120.00
loop_
_atom_site_label
_atom_site_type_symbol
_atom_site_fract_x
_atom_site_fract_y
_atom_site_fract_z
_atom_site_occupancy
Li1 Li 0.0513 0.5256 0.2422 1
Ca1 Ca 0.0000 0.0000 0.0000 1
Au1 Au 0.0000 0.3805 0.5000 1
Au2 Au 0.0812 0.1624 0.2985 1

=====

# Mn2BiPd9 PBE-GGA relaxed
# formation energy = -231 meV/atom
data_Mn2BiPd9
_chemical_formula_sum 'Mn2 Bi1 Pd9'
_space_group_name_H-M_alt 'P 4/m m m'
_space_group_IT_number 123
_space_group_name_Hall '-P 4 2'
_cell_length_a 4.005
_cell_length_b 4.005
_cell_length_c 11.941
_cell_angle_alpha 90.00
_cell_angle_beta 90.00
_cell_angle_gamma 90.00
loop_
_atom_site_label
_atom_site_type_symbol
_atom_site_fract_x
_atom_site_fract_y
_atom_site_fract_z
_atom_site_occupancy
Mn1 Mn 0.000 0.000 0.158 1
Bi1 Bi 0.000 0.000 0.500 1
Pd1 Pd 0.000 0.500 0.000 1
Pd2 Pd 0.000 0.500 0.321 1
Pd3 Pd 0.500 0.500 0.161 1
Pd4 Pd 0.500 0.500 0.500 1

=====

# RbH2Se PBE-GGA relaxed
# energy relative to the lowest polymorph listed for this composition = 952.5 meV per atom
data_RbH2Se
_chemical_formula_sum 'Rb4 H8 Se4'
_space_group_name_H-M_alt 'F m -3 m'
_space_group_IT_number 225
_space_group_name_Hall '-F 4 2 3'
_cell_length_a 6.477
_cell_length_b 6.477
_cell_length_c 6.477
_cell_angle_alpha 90.00
_cell_angle_beta 90.00
_cell_angle_gamma 90.00
loop_
_atom_site_label
_atom_site_type_symbol
_atom_site_fract_x
_atom_site_fract_y
_atom_site_fract_z
_atom_site_occupancy
Rb1 Rb 0.000 0.000 0.000 1
H1 H 0.250 0.250 0.250 1
Se1 Se 0.000 0.000 0.500 1

=====

# ZrZnCo2 PBE-GGA relaxed
# formation energy = -12 meV/atom
data_ZrZnCo2
_chemical_formula_sum 'Zr1 Zn1 Co2'
_space_group_name_H-M_alt 'P m m 2'
_space_group_IT_number 25
_cell_length_a 2.943
_cell_length_b 3.706
_cell_length_c 5.252
_cell_angle_alpha 90.00
_cell_angle_beta 90.00
_cell_angle_gamma 90.00
loop_
_space_group_symop_operation_xyz
'x,y,z'
'-x,-y,z'
'-x,y,z'
'x,-y,z'
loop_
_atom_site_label
_atom_site_type_symbol
_atom_site_fract_x
_atom_site_fract_y
_atom_site_fract_z
_atom_site_occupancy
Zr1 Zr 0.000 0.000 0.000 1
Zn1 Zn 0.500 0.500 0.687 1
Co1 Co 0.000 0.000 0.488 1
Co2 Co 0.500 0.500 0.228 1

=====

# Hg4Pd5 PBE-GGA relaxed
# formation energy = -99 meV/atom
data_Hg4Pd5
_chemical_formula_sum 'Hg8 Pd10'
_space_group_name_H-M_alt 'I 4/m m m'
_space_group_IT_number 139
_space_group_name_Hall '-I 4 2'
_cell_length_a 8.936
_cell_length_b 8.936
_cell_length_c 4.005
_cell_angle_alpha 90.00
_cell_angle_beta 90.00
_cell_angle_gamma 90.00
loop_
_atom_site_label
_atom_site_type_symbol
_atom_site_fract_x
_atom_site_fract_y
_atom_site_fract_z
_atom_site_occupancy
Hg1 Hg 0.166 0.166 0.000 1
Pd1 Pd 0.000 0.000 0.500 1
Pd2 Pd 0.000 0.337 0.500 1

=====

# Ag2RuPtAu PBE-GGA relaxed
# formation energy = 1542 meV/atom
data_Ag2RuPtAu
_chemical_formula_sum 'Ag2 Ru1 Pt1 Au1'
_space_group_name_H-M_alt 'P 4/m m m'
_space_group_IT_number 123
_space_group_name_Hall '-P 4 2'
_cell_length_a 4.992
_cell_length_b 4.992
_cell_length_c 4.936
_cell_angle_alpha 90.00
_cell_angle_beta 90.00
_cell_angle_gamma 90.00
loop_
_atom_site_label
_atom_site_type_symbol
_atom_site_fract_x
_atom_site_fract_y
_atom_site_fract_z
_atom_site_occupancy
Ag1 Ag 0.000 0.500 0.000 1
Ru1 Ru 0.000 0.000 0.500 1
Pt1 Pt 0.500 0.500 0.500 1
Au1 Au 0.000 0.000 0.000 1

=====

# ZrScP2 PBE-GGA relaxed
# energy relative to the lowest polymorph listed for this composition = 634.6 meV per atom
# formation energy = -801 meV/atom
data_ZrScP2
_chemical_formula_sum 'Zr4 Sc4 P8'
_space_group_name_H-M_alt 'I -4 2 d'
_space_group_IT_number 122
_space_group_name_Hall 'I -4 2bw'
_cell_length_a 5.908
_cell_length_b 5.908
_cell_length_c 11.724
_cell_angle_alpha 90.00
_cell_angle_beta 90.00
_cell_angle_gamma 90.00
loop_
_atom_site_label
_atom_site_type_symbol
_atom_site_fract_x
_atom_site_fract_y
_atom_site_fract_z
_atom_site_occupancy
Zr1 Zr 0.000 0.000 0.000 1
Sc1 Sc 0.000 0.000 0.500 1
P1 P 0.247 0.250 0.125 1

=====

# AcSmIn2 PBE-GGA relaxed
# formation energy = -268 meV/atom
data_AcSmIn2
_chemical_formula_sum 'Ac3 Sm3 In6'
_space_group_name_H-M_alt 'R -3 m'
_space_group_IT_number 166
_space_group_name_Hall '-R 3 2"'
_cell_length_a 3.9435
_cell_length_b 3.9435
_cell_length_c 30.1425
_cell_angle_alpha 90.00
_cell_angle_beta 90.00
_cell_angle_gamma 120.00
loop_
_atom_site_label
_atom_site_type_symbol
_atom_site_fract_x
_atom_site_fract_y
_atom_site_fract_z
_atom_site_occupancy
Ac1 Ac 0.0000 0.0000 0.0000 1
Sm1 Sm 0.0000 0.0000 0.5000 1
In1 In 0.0000 0.0000 0.2450 1

=====

# AcY12Tm5 PBE-GGA relaxed
# formation energy = 38 meV/atom
data_AcY12Tm5
_chemical_formula_sum 'Ac2 Y24 Tm10'
_space_group_name_H-M_alt 'C m m m'
_space_group_IT_number 65
_space_group_name_Hall '-C 2 2'
_cell_length_a 15.167
_cell_length_b 15.183
_cell_length_c 5.041
_cell_angle_alpha 90.00
_cell_angle_beta 90.00
_cell_angle_gamma 90.00
loop_
_atom_site_label
_atom_site_type_symbol
_atom_site_fract_x
_atom_site_fract_y
_atom_site_fract_z
_atom_site_occupancy
Ac1 Ac 0.000 0.000 0.000 1
Y1 Y 0.164 0.334 0.500 1
Y2 Y 0.164 0.500 0.000 1
Y3 Y 0.168 0.169 0.000 1
Y4 Y 0.171 0.000 0.500 1
Tm1 Tm 0.000 0.172 0.500 1
Tm2 Tm 0.000 0.334 0.000 1
Tm3 Tm 0.000 0.500 0.500 1

=====

# Li2RhAu PBE-GGA relaxed
# formation energy = -247 meV/atom
data_Li2RhAu
_chemical_formula_sum 'Li4 Rh2 Au2'
_space_group_name_H-M_alt 'C m m m'
_space_group_IT_number 65
_space_group_name_Hall '-C 2 2'
_cell_length_a 2.908
_cell_length_b 4.689
_cell_length_c 8.636
_cell_angle_alpha 90.00
_cell_angle_beta 90.00
_cell_angle_gamma 90.00
loop_
_atom_site_label
_atom_site_type_symbol
_atom_site_fract_x
_atom_site_fract_y
_atom_site_fract_z
_atom_site_occupancy
Li1 Li 0.000 0.000 0.237 1
Rh1 Rh 0.000 0.500 0.000 1
Au1 Au 0.000 0.500 0.500 1

=====

# CaPaGe2O8 PBE-GGA relaxed
# raw formation energy = -2314.4 meV per atom
data_CaPaGe2O8
_chemical_formula_sum 'Ca2 Pa2 Ge4 O16'
_space_group_name_H-M_alt 'I -4 m 2'
_space_group_IT_number 119
_space_group_name_Hall 'I -4 -2'
_cell_length_a 7.130
_cell_length_b 7.130
_cell_length_c 6.511
_cell_angle_alpha 90.00
_cell_angle_beta 90.00
_cell_angle_gamma 90.00
loop_
_atom_site_label
_atom_site_type_symbol
_atom_site_fract_x
_atom_site_fract_y
_atom_site_fract_z
_atom_site_occupancy
Ca1 Ca 0.000 0.000 0.000 1
Pa1 Pa 0.000 0.500 0.250 1
Ge1 Ge 0.000 0.000 0.500 1
Ge2 Ge 0.000 0.500 0.750 1
O1 O 0.000 0.195 0.330 1
O2 O 0.000 0.320 0.937 1

=====

# PrAgBr4 PBE-GGA relaxed
# energy relative to the lowest polymorph listed for this composition = 0.0 meV per atom
# raw formation energy = -1278.1 meV per atom
data_PrAgBr4
_chemical_formula_sum 'Pr4 Ag4 Br16'
_space_group_name_H-M_alt 'C 1 2/m 1'
_space_group_IT_number 12
_cell_length_a 22.032
_cell_length_b 5.664
_cell_length_c 8.775
_cell_angle_alpha 90.00
_cell_angle_beta 110.06
_cell_angle_gamma 90.00
loop_
_space_group_symop_operation_xyz
'x,y,z'
'-x,-y,-z'
'-x,y,-z'
'x,-y,z'
'x+1/2,y+1/2,z'
'-x+1/2,-y+1/2,-z'
'-x+1/2,y+1/2,-z'
'x+1/2,-y+1/2,z'
loop_
_atom_site_label
_atom_site_type_symbol
_atom_site_fract_x
_atom_site_fract_y
_atom_site_fract_z
_atom_site_occupancy
Pr1 Pr 0.182 0.000 0.262 1
Ag1 Ag 0.152 0.000 0.750 1
Br1 Br 0.087 0.000 0.957 1
Br2 Br 0.093 0.000 0.430 1
Br3 Br 0.199 0.500 0.813 1
Br4 Br 0.213 0.500 0.361 1

=====

# Sm2Er2Tl7 PBE-GGA relaxed
# formation energy = 70 meV/atom
data_Sm2Er2Tl7
_chemical_formula_sum 'Sm4 Er4 Tl14'
_space_group_name_H-M_alt 'C m m m'
_space_group_IT_number 65
_space_group_name_Hall '-C 2 2'
_cell_length_a 8.827
_cell_length_b 10.922
_cell_length_c 7.393
_cell_angle_alpha 90.00
_cell_angle_beta 90.00
_cell_angle_gamma 90.00
loop_
_atom_site_label
_atom_site_type_symbol
_atom_site_fract_x
_atom_site_fract_y
_atom_site_fract_z
_atom_site_occupancy
Sm1 Sm 0.187 0.000 0.000 1
Er1 Er 0.000 0.294 0.500 1
Tl1 Tl 0.000 0.000 0.500 1
Tl2 Tl 0.000 0.500 0.213 1
Tl3 Tl 0.250 0.250 0.214 1

=====

# ZrTlZn2 PBE-GGA relaxed
# energy relative to the lowest polymorph listed for this composition = 154.9 meV per atom
# formation energy = 8 meV/atom
data_ZrTlZn2
_chemical_formula_sum 'Zr1 Tl1 Zn2'
_space_group_name_H-M_alt 'P 1 m 1'
_space_group_IT_number 6
_cell_length_a 3.164
_cell_length_b 4.348
_cell_length_c 5.885
_cell_angle_alpha 90.00
_cell_angle_beta 101.96
_cell_angle_gamma 90.00
loop_
_space_group_symop_operation_xyz
'x,y,z'
'x,-y,z'
loop_
_atom_site_label
_atom_site_type_symbol
_atom_site_fract_x
_atom_site_fract_y
_atom_site_fract_z
_atom_site_occupancy
Zr1 Zr 0.000 0.000 0.000 1
Tl1 Tl 0.662 0.500 0.303 1
Zn1 Zn 0.329 0.000 0.551 1
Zn2 Zn 0.415 0.500 0.792 1

=====

# Ce2P2Rh5 PBE-GGA relaxed
# formation energy = -987 meV/atom
data_Ce2P2Rh5
_chemical_formula_sum 'Ce2 P2 Rh5'
_space_group_name_H-M_alt 'P 4/m m m'
_space_group_IT_number 123
_space_group_name_Hall '-P 4 2'
_cell_length_a 4.100
_cell_length_b 4.100
_cell_length_c 8.834
_cell_angle_alpha 90.00
_cell_angle_beta 90.00
_cell_angle_gamma 90.00
loop_
_atom_site_label
_atom_site_type_symbol
_atom_site_fract_x
_atom_site_fract_y
_atom_site_fract_z
_atom_site_occupancy
Ce1 Ce 0.000 0.000 0.000 1
Ce2 Ce 0.000 0.000 0.500 1
P1 P 0.500 0.500 0.131 1
Rh1 Rh 0.000 0.500 0.262 1
Rh2 Rh 0.500 0.500 0.500 1

=====

# Pm8DySc2 PBE-GGA relaxed
# energy relative to the lowest polymorph listed for this composition = 34.1 meV per atom
# formation energy = 158 meV/atom
data_Pm8DySc2
_chemical_formula_sum 'Pm16 Dy2 Sc4'
_space_group_name_H-M_alt 'C 1 2/m 1'
_space_group_IT_number 12
_cell_length_a 9.000
_cell_length_b 16.113
_cell_length_c 5.871
_cell_angle_alpha 90.00
_cell_angle_beta 122.26
_cell_angle_gamma 90.00
loop_
_space_group_symop_operation_xyz
'x,y,z'
'-x,-y,-z'
'-x,y,-z'
'x,-y,z'
'x+1/2,y+1/2,z'
'-x+1/2,-y+1/2,-z'
'-x+1/2,y+1/2,-z'
'x+1/2,-y+1/2,z'
loop_
_atom_site_label
_atom_site_type_symbol
_atom_site_fract_x
_atom_site_fract_y
_atom_site_fract_z
_atom_site_occupancy
Pm1 Pm 0.000 0.208 0.000 1
Pm2 Pm 0.079 0.500 0.794 1
Pm3 Pm 0.216 0.120 0.672 1
Dy1 Dy 0.000 0.000 0.000 1
Sc1 Sc 0.000 0.310 0.500 1

=====

# GaBi2P PBE-GGA relaxed
# energy relative to the lowest polymorph listed for this composition = 0.0 meV per atom
# formation energy = 303 meV/atom
data_GaBi2P
_chemical_formula_sum 'Ga4 Bi8 P4'
_space_group_name_H-M_alt 'I -4 2 d'
_space_group_IT_number 122
_space_group_name_Hall 'I -4 2bw'
_cell_length_a 6.267
_cell_length_b 6.267
_cell_length_c 13.969
_cell_angle_alpha 90.00
_cell_angle_beta 90.00
_cell_angle_gamma 90.00
loop_
_atom_site_label
_atom_site_type_symbol
_atom_site_fract_x
_atom_site_fract_y
_atom_site_fract_z
_atom_site_occupancy
Ga1 Ga 0.000 0.000 0.000 1
Bi1 Bi 0.240 0.250 0.625 1
P1 P 0.000 0.000 0.500 1

=====

# CaReB2Rh PBE-GGA relaxed
# formation energy = 3154 meV/atom
data_CaReB2Rh
_chemical_formula_sum 'Ca1 Re1 B2 Rh1'
_space_group_name_H-M_alt 'P 4/m m m'
_space_group_IT_number 123
_space_group_name_Hall '-P 4 2'
_cell_length_a 4.261
_cell_length_b 4.261
_cell_length_c 4.697
_cell_angle_alpha 90.00
_cell_angle_beta 90.00
_cell_angle_gamma 90.00
loop_
_atom_site_label
_atom_site_type_symbol
_atom_site_fract_x
_atom_site_fract_y
_atom_site_fract_z
_atom_site_occupancy
Ca1 Ca 0.000 0.000 0.000 1
Re1 Re 0.000 0.000 0.500 1
B1 B 0.000 0.500 0.000 1
Rh1 Rh 0.500 0.500 0.500 1

=====

# KCrTc PBE-GGA relaxed
# energy relative to the lowest polymorph listed for this composition = 1803.4 meV per atom
# formation energy = 2666 meV/atom
data_KCrTc
_chemical_formula_sum 'K4 Cr4 Tc4'
_space_group_name_H-M_alt 'F -4 3 m'
_space_group_IT_number 216
_space_group_name_Hall 'F -4 2 3'
_cell_length_a 6.946
_cell_length_b 6.946
_cell_length_c 6.946
_cell_angle_alpha 90.00
_cell_angle_beta 90.00
_cell_angle_gamma 90.00
loop_
_atom_site_label
_atom_site_type_symbol
_atom_site_fract_x
_atom_site_fract_y
_atom_site_fract_z
_atom_site_occupancy
K1 K 0.000 0.000 0.000 1
Cr1 Cr 0.250 0.250 0.250 1
Tc1 Tc 0.250 0.250 0.750 1